No. 1
## Nd7Cd2Co2 (PBE-GGA)

Data for a relaxed structure of Nd7Cd2Co2.

```
Nd7Cd2Co2
1.0
-0.907 -6.055 -3.254
6.465 0.766 -3.227
3.160 -1.046 6.082
Cd Nd Co
2 7 2
Cartesian
5.093 -5.482 0.723
3.625 -0.853 -1.121
7.585 -3.498 2.018
6.458 0.054 0.603
0.000 0.000 0.000
6.079 -2.965 -1.060
2.639 -3.371 0.662
1.133 -2.838 -2.416
2.260 -6.390 -1.001
1.964 -2.519 3.337
6.754 -3.816 -3.735
```

## Properties
formation enthalpy at 0 K: -75 kJ/mol of formula units
size of the total moment: 0.0 μB per cell
E_tot: -50.20 eV for the cell shown

---

No. 2
## MgTlRe (PBE-GGA)

Data for a relaxed structure of MgTlRe.

```
MgTlRe
1.0
-2.122 0.193 4.105
-4.609 -0.301 0.237
-1.982 -3.790 1.758
Mg Re Tl
1 1 1
Cartesian
-4.356 -1.949 3.050
-6.535 -2.924 4.575
0.000 0.000 0.000
```

## Properties
formation enthalpy at 0 K: 317 kJ/mol of formula units
size of the total moment: 1.9 μB per cell
polymorph energy (0 for the lowest one): 431 meV per atom
E_tot: -13.12 eV for the cell shown

---

No. 3
## Fe2TcNi (PBE-GGA)

Data for a relaxed structure of Fe2TcNi.

```
Fe2TcNi
1.0
3.612 0.000 0.000
0.000 3.610 0.000
0.000 0.000 3.610
Ni Tc Fe
1 1 2
Cartesian
1.806 1.805 0.000
1.806 0.000 1.805
0.000 0.000 0.000
0.000 1.805 1.805
```

## Properties
formation enthalpy at 0 K: 42 kJ/mol of formula units
size of the total moment: 2.8 μB per cell
E_tot: -32.63 eV for the cell shown

---

No. 4
## Er2InCu2 (PBE-GGA)

Data for a relaxed structure of Er2InCu2.

```
Er2InCu2
1.0
-0.470 -3.659 -0.130
6.145 -0.939 4.203
-4.199 0.319 6.211
Er In Cu
4 2 4
Cartesian
2.736 -0.524 4.865
1.614 -0.514 8.639
-0.790 -0.095 5.549
0.332 -0.106 1.775
-2.335 -1.670 3.041
2.838 -2.299 2.037
0.502 -2.064 3.879
-3.180 -1.663 5.903
0.974 -2.214 6.405
4.656 -2.616 4.382
```

## Properties
formation enthalpy at 0 K: -195 kJ/mol of formula units
size of the total moment: 0.0 μB per cell
E_tot: -44.16 eV for the cell shown

---

No. 5
## K2FeNi (PBE-GGA)

Data for a relaxed structure of K2FeNi.

```
K2FeNi
1.0
4.002 -0.019 -0.002
2.014 3.458 -0.002
2.082 1.190 9.403
Fe Ni K
1 1 2
Cartesian
2.035 1.163 3.525
4.041 2.310 3.524
6.044 3.455 0.997
6.042 3.454 6.048
```

## Properties
formation enthalpy at 0 K: 221 kJ/mol of formula units
size of the total moment: 3.2 μB per cell
polymorph energy (0 for the lowest one): 0 meV per atom
E_tot: -14.15 eV for the cell shown

---

No. 6
## TiVTe2 (PBE-GGA)

Data for a relaxed structure of TiVTe2.

```
TiVTe2
1.0
-0.756 -4.669 -0.963
-0.833 -3.103 3.603
-4.399 -1.903 0.578
V Te Ti
1 2 1
Cartesian
-2.994 -4.838 1.609
-1.497 -2.419 0.804
-4.491 -7.256 2.413
0.000 0.000 0.000
```

## Properties
size of the total moment: 1.1 μB per cell
polymorph energy (0 for the lowest one): 297 meV per atom
E_tot: -23.83 eV for the cell shown
uncorrected formation energy: -0.13 eV per atom

---

No. 7
## TaInAu2 (PBE-GGA)

Data for a relaxed structure of TaInAu2.

```
TaInAu2
1.0
9.587 -0.034 -0.020
9.104 3.005 -0.020
9.104 1.447 2.634
In Ta Au
1 1 2
Cartesian
6.949 1.105 0.649
20.846 3.314 1.946
0.089 0.014 0.008
13.808 2.195 1.289
```

## Properties
formation enthalpy at 0 K: 31 kJ/mol of formula units
size of the total moment: 0.0 μB per cell
E_tot: -20.83 eV for the cell shown

---

No. 8
## Ba2MnSbSe5 (PBE-GGA)

Data for a relaxed structure of Ba2MnSbSe5.

```
Ba2MnSbSe5
1.0
-0.306 -3.774 -2.138
8.341 -0.872 4.766
-6.496 -5.357 10.388
Se Ba Mn Sb
10 4 2 2
Cartesian
2.763 -3.815 6.339
-1.757 -3.335 1.716
2.110 -3.979 2.299
0.397 -0.140 0.190
5.511 -1.974 2.694
0.389 -5.233 9.182
-0.925 -5.517 5.449
-2.941 -7.605 9.424
3.121 -6.813 11.579
4.380 -7.193 7.649
-2.598 -4.363 8.074
4.862 -5.042 3.782
-0.059 -2.498 4.418
0.511 -8.402 10.337
-5.318 -7.112 8.895
4.609 -4.745 7.717
1.242 -6.396 6.690
3.087 -1.306 1.863
```

## Properties
size of the total moment: 8.0 μB per cell
E_tot: -88.85 eV for the cell shown
uncorrected formation energy: -1.10 eV per atom

---

No. 9
## Be2TcAu (PBE-GGA)

Data for a relaxed structure of Be2TcAu.

```
Be2TcAu
1.0
2.761 0.000 0.000
0.000 3.024 0.000
0.000 0.000 5.804
Tc Be Au
1 2 1
Cartesian
1.381 1.512 1.451
0.000 0.000 2.791
0.000 0.000 0.111
1.381 1.512 4.353
```

## Properties
formation enthalpy at 0 K: -25 kJ/mol of formula units
size of the total moment: 0.0 μB per cell
polymorph energy (0 for the lowest one): 47 meV per atom
E_tot: -21.35 eV for the cell shown

---

No. 10
## RbIn2GaSn2 (PBE-GGA)

Data for a relaxed structure of RbIn2GaSn2.

```
RbIn2GaSn2
1.0
-0.129 4.332 2.649
-0.871 -4.428 2.330
8.578 -0.788 1.707
Sn Ga In Rb
2 1 2 1
Cartesian
5.816 0.843 3.775
1.762 -1.727 2.911
4.289 -0.394 0.854
2.800 1.120 3.175
4.779 -2.005 3.511
0.000 0.000 0.000
```

## Properties
formation enthalpy at 0 K: -39 kJ/mol of formula units
size of the total moment: 0.0 μB per cell
E_tot: -17.88 eV for the cell shown

---

No. 11
## BeCdH (PBE-GGA)

Data for a relaxed structure of BeCdH.

```
BeCdH
1.0
-2.190 1.330 0.250
-3.210 -3.130 1.770
0.752 2.473 6.686
H Cd Be
2 2 2
Cartesian
-3.134 0.912 7.448
-1.515 -0.240 1.258
-0.399 0.967 4.611
-4.250 -0.295 4.095
-2.136 0.245 6.486
-2.513 0.427 2.221
```

## Properties
size of the total moment: 0.0 μB per cell
E_tot: -13.56 eV for the cell shown

---

No. 12
## TlCd2Pb2 (PBE-GGA)

Data for a relaxed structure of TlCd2Pb2.

```
TlCd2Pb2
1.0
9.032 0.000 0.000
0.000 9.032 0.000
0.000 0.000 3.579
Pb Cd Tl
4 4 2
Cartesian
2.967 1.549 1.790
7.483 2.967 1.790
6.065 7.483 1.790
1.549 6.065 1.790
7.902 5.646 0.000
5.646 1.130 0.000
3.386 7.902 0.000
1.130 3.386 0.000
0.000 0.000 0.000
4.516 4.516 0.000
```

## Properties
formation enthalpy at 0 K: 31 kJ/mol of formula units
size of the total moment: 0.0 μB per cell
polymorph energy (0 for the lowest one): 15 meV per atom
E_tot: -22.58 eV for the cell shown